CdSn2Sb: optimized geometry, GGA-PBE.

The calculation puts the volume at 106.45 Å³/f.u. As for the raw total energy: -3.146 eV per atom. Its theoretical density is 7357 kg/m3.

The space group is F-43m (No. 216) and the conventional cell measures 7.5231, 7.5231 and 7.5231 Å, with angles of 90.00, 90.00 and 90.00 degrees. The asymmetric unit holds Cd at (0.0000, 0.0000, 0.0000), Sn at (0.0000, 0.0000, 0.5000), Sn at (0.2500, 0.2500, 0.2500) and Sb at (0.2500, 0.2500, 0.7500).


BaNb2As2O11: optimized geometry, GGA-PBE.

The calculation puts the volume at 248.95 Å³/f.u. As for the raw total energy: -7.437 eV per atom. Its theoretical density is 4329 kg/m3.

The space group is R-3m (No. 166, hexagonal axes) and the conventional cell measures 5.5032, 5.5032 and 28.4758 Å, with angles of 90.00, 90.00 and 120.00 degrees. The asymmetric unit holds Ba at (0.0000, 0.0000, 0.0000), Nb at (0.0000, 0.0000, 0.1295), As at (0.0000, 0.0000, 0.3948), O at (0.0000, 0.0000, 0.3358), O at (0.0000, 0.5000, 0.5000) and O at (0.0044, 0.5022, 0.7490).


BaCdInPt2: optimized geometry, GGA-PBE.

The calculation puts the volume at 123.58 Å³/f.u. As for the raw total energy: -4.150 eV per atom. Its theoretical density is 10141 kg/m3.

The space group is I-4m2 (No. 119) and the conventional cell measures 4.5531, 4.5531 and 11.9225 Å, with angles of 90.00, 90.00 and 90.00 degrees. The asymmetric unit holds Ba at (0.0000, 0.0000, 0.0000), Cd at (0.0000, 0.5000, 0.2500), In at (0.0000, 0.5000, 0.7500) and Pt at (0.0000, 0.0000, 0.3883).


ScAl2Au2: optimized geometry, GGA-PBE.

The calculation puts the volume at 93.90 Å³/f.u. As for the raw total energy: -4.639 eV per atom. Its theoretical density is 8716 kg/m3.

The space group is I4/mmm (No. 139) and the conventional cell measures 3.9584, 3.9584 and 11.9856 Å, with angles of 90.00, 90.00 and 90.00 degrees. The asymmetric unit holds Sc at (0.0000, 0.0000, 0.0000), Al at (0.0000, 0.5000, 0.2500) and Au at (0.0000, 0.0000, 0.3880).


Mo: optimized geometry, GGA-PBE.

The calculation puts the volume at 16.07 Å³/f.u. As for the raw total energy: -10.754 eV per atom. The calculated formation energy comes out at 0.094 eV/atom. Its theoretical density is 9915 kg/m3.

The space group is Pm-3n (No. 223) and the conventional cell measures 5.0468, 5.0468 and 5.0468 Å, with angles of 90.00, 90.00 and 90.00 degrees. The asymmetric unit holds Mo at (0.0000, 0.0000, 0.0000) and Mo at (0.0000, 0.2500, 0.5000).


Pr2NdRe2N6: optimized geometry, GGA-PBE.

The calculation puts the volume at 151.65 Å³/f.u. As for the raw total energy: -8.940 eV per atom. Its theoretical density is 9663 kg/m3.

The space group is I4/mmm (No. 139) and the conventional cell measures 3.9245, 3.9245 and 19.6929 Å, with angles of 90.00, 90.00 and 90.00 degrees. The asymmetric unit holds Pr at (0.0000, 0.0000, 0.1851), Nd at (0.0000, 0.0000, 0.0000), Re at (0.0000, 0.0000, 0.4097), N at (0.0000, 0.0000, 0.3038) and N at (0.0000, 0.5000, 0.0866).


GdInSn: optimized geometry, GGA-PBE.

The calculation puts the volume at 95.19 Å³/f.u. As for the raw total energy: -3.997 eV per atom. Its theoretical density is 6817 kg/m3.

The space group is F-43m (No. 216) and the conventional cell measures 7.2480, 7.2480 and 7.2480 Å, with angles of 90.00, 90.00 and 90.00 degrees. The asymmetric unit holds Gd at (0.0000, 0.0000, 0.0000), In at (0.2500, 0.2500, 0.7500) and Sn at (0.2500, 0.2500, 0.2500).


HfCoSiNi: optimized geometry, GGA-PBE.

The calculation puts the volume at 54.40 Å³/f.u. As for the raw total energy: -7.235 eV per atom. Its theoretical density is 9897 kg/m3.

The space group is F-43m (No. 216) and the conventional cell measures 6.0146, 6.0146 and 6.0146 Å, with angles of 90.00, 90.00 and 90.00 degrees. The asymmetric unit holds Hf at (0.0000, 0.0000, 0.0000), Co at (0.2500, 0.2500, 0.7500), Si at (0.2500, 0.2500, 0.2500) and Ni at (0.0000, 0.0000, 0.5000).